# 1
! Sm5DySc4 | Alexandria | PBE | optimized geometry; values from VASP
&SYSTEM
  ibrav = 0, nat = 10, ntyp = 3
/
ATOMIC_SPECIES
Sm 150.36 Sm.upf
Dy 162.50 Dy.upf
Sc 44.96 Sc.upf
CELL_PARAMETERS angstrom
-4.9481 4.9481 3.0989
4.9481 -4.9481 3.0989
4.9481 4.9481 -3.0989
ATOMIC_POSITIONS crystal
Sm 0.0000 0.0000 0.0000
Sm 0.4819 0.5812 0.6038
Sm 0.5812 0.9774 0.0992
Sm 0.8781 0.4819 0.9008
Sm 0.9774 0.8781 0.3962
Dy 0.4590 0.4590 0.0000
Sc 0.1741 0.5894 0.3015
Sc 0.2880 0.8726 0.6985
Sc 0.5894 0.2880 0.4154
Sc 0.8726 0.1741 0.5846
! Energy relative to the elements = 0.333 eV per atom
! E above lowest polymorph = 0.288 eV per atom

# 2
! Sm2Dy5Sc | Alexandria | PBE | optimized geometry; values from VASP
&SYSTEM
  ibrav = 0, nat = 16, ntyp = 3
/
ATOMIC_SPECIES
Sm 150.36 Sm.upf
Dy 162.50 Dy.upf
Sc 44.96 Sc.upf
CELL_PARAMETERS angstrom
7.0621 0.0000 0.0000
0.0000 14.1354 0.0000
0.0000 0.0000 4.9780
ATOMIC_POSITIONS crystal
Sm 0.2475 0.1235 0.0000
Sm 0.2525 0.6235 0.0000
Sm 0.7475 0.3765 0.0000
Sm 0.7525 0.8765 0.0000
Dy 0.0000 0.5000 0.5000
Dy 0.0013 0.7520 0.5000
Dy 0.2502 0.3763 0.0000
Dy 0.2498 0.8763 0.0000
Dy 0.4987 0.2520 0.5000
Dy 0.5000 0.0000 0.5000
Dy 0.5013 0.7480 0.5000
Dy 0.7502 0.1237 0.0000
Dy 0.7498 0.6237 0.0000
Dy 0.9987 0.2480 0.5000
Sc 0.0000 0.0000 0.5000
Sc 0.5000 0.5000 0.5000
! Energy relative to the elements = 0.031 eV per atom

# 3
! SmDy5Sc2 | Alexandria | PBE | optimized geometry; values from VASP
&SYSTEM
  ibrav = 0, nat = 16, ntyp = 3
/
ATOMIC_SPECIES
Sm 150.36 Sm.upf
Dy 162.50 Dy.upf
Sc 44.96 Sc.upf
CELL_PARAMETERS angstrom
-4.4060 4.4060 6.2243
4.4060 -4.4060 6.2243
4.4060 4.4060 -6.2243
ATOMIC_POSITIONS crystal
Sm 0.2500 0.2500 0.0000
Sm 0.7500 0.7500 0.0000
Dy 0.0000 0.0000 0.0000
Dy 0.0071 0.5071 0.1991
Dy 0.1920 0.9929 0.5000
Dy 0.3080 0.8080 0.8009
Dy 0.4929 0.6920 0.5000
Dy 0.5000 0.5000 0.0000
Dy 0.5071 0.3080 0.5000
Dy 0.6920 0.1920 0.1991
Dy 0.8080 0.0071 0.5000
Dy 0.9929 0.4929 0.8009
Sc 0.1434 0.3566 0.5000
Sc 0.3566 0.8566 0.2133
Sc 0.6434 0.1434 0.7867
Sc 0.8566 0.6434 0.5000
! Energy relative to the elements = 0.117 eV per atom
! E above lowest polymorph = 0.088 eV per atom

# 4
! Sm3DySc4 | Alexandria | PBE | optimized geometry; values from VASP
&SYSTEM
  ibrav = 0, nat = 16, ntyp = 3
/
ATOMIC_SPECIES
Sm 150.36 Sm.upf
Dy 162.50 Dy.upf
Sc 44.96 Sc.upf
CELL_PARAMETERS angstrom
10.9013 0.0000 0.0000
0.0000 7.0496 0.0000
0.0000 0.0000 6.0078
ATOMIC_POSITIONS crystal
Sm 0.0000 0.1364 0.0000
Sm 0.2503 0.1360 0.3494
Sm 0.2497 0.8640 0.8494
Sm 0.5000 0.8636 0.5000
Sm 0.7497 0.1360 0.3494
Sm 0.7503 0.8640 0.8494
Dy 0.0000 0.8623 0.4989
Dy 0.5000 0.1377 0.9989
Sc 0.0000 0.3871 0.5100
Sc 0.0000 0.6126 0.0102
Sc 0.2487 0.6124 0.3388
Sc 0.2513 0.3876 0.8388
Sc 0.5000 0.3874 0.5102
Sc 0.5000 0.6129 0.0100
Sc 0.7487 0.3876 0.8388
Sc 0.7513 0.6124 0.3388
! Energy relative to the elements = 0.048 eV per atom

# 5
! Sm3Dy4Sc2 | Alexandria | PBE | optimized geometry; values from VASP
&SYSTEM
  ibrav = 0, nat = 9, ntyp = 3
/
ATOMIC_SPECIES
Sm 150.36 Sm.upf
Dy 162.50 Dy.upf
Sc 44.96 Sc.upf
CELL_PARAMETERS angstrom
8.4028 -1.7464 0.0000
8.4028 1.7464 0.0000
-1.6879 0.0000 9.4165
ATOMIC_POSITIONS crystal
Sm 0.0000 0.0000 0.0000
Sm 0.1579 0.1579 0.5903
Sm 0.8421 0.8421 0.4097
Dy 0.1752 0.1752 0.2277
Dy 0.4865 0.4865 0.6756
Dy 0.5135 0.5135 0.3244
Dy 0.8248 0.8248 0.7723
Sc 0.3324 0.3324 0.0778
Sc 0.6676 0.6676 0.9222
! Energy relative to the elements = 0.041 eV per atom
! E above lowest polymorph = 0.000 eV per atom

# 6
! Sm5DySc4 | Alexandria | PBE | optimized geometry; values from VASP
&SYSTEM
  ibrav = 0, nat = 10, ntyp = 3
/
ATOMIC_SPECIES
Sm 150.36 Sm.upf
Dy 162.50 Dy.upf
Sc 44.96 Sc.upf
CELL_PARAMETERS angstrom
3.5470 0.0000 0.0000
0.0000 3.5470 0.0000
0.0000 0.0000 23.4681
ATOMIC_POSITIONS crystal
Sm 0.0000 0.0000 0.0000
Sm 0.0000 0.0000 0.1953
Sm 0.0000 0.0000 0.3918
Sm 0.0000 0.0000 0.6082
Sm 0.0000 0.0000 0.8047
Dy 0.5000 0.5000 0.5000
Sc 0.5000 0.5000 0.0977
Sc 0.5000 0.5000 0.2933
Sc 0.5000 0.5000 0.7067
Sc 0.5000 0.5000 0.9023
! Energy relative to the elements = 0.045 eV per atom
! E above lowest polymorph = 0.000 eV per atom

# 7
! SmDy12Sc3 | Alexandria | PBE | optimized geometry; values from VASP
&SYSTEM
  ibrav = 0, nat = 16, ntyp = 3
/
ATOMIC_SPECIES
Sm 150.36 Sm.upf
Dy 162.50 Dy.upf
Sc 44.96 Sc.upf
CELL_PARAMETERS angstrom
4.9498 0.0000 0.0000
0.0000 4.9498 0.0000
0.0000 0.0000 19.7262
ATOMIC_POSITIONS crystal
Sm 0.0000 0.0000 0.0000
Dy 0.0000 0.5000 0.1297
Dy 0.0000 0.5000 0.3766
Dy 0.0000 0.5000 0.6234
Dy 0.0000 0.5000 0.8703
Dy 0.5000 0.0000 0.1297
Dy 0.5000 0.0000 0.3766
Dy 0.5000 0.0000 0.6234
Dy 0.5000 0.0000 0.8703
Dy 0.5000 0.5000 0.0000
Dy 0.5000 0.5000 0.2539
Dy 0.5000 0.5000 0.5000
Dy 0.5000 0.5000 0.7461
Sc 0.0000 0.0000 0.2530
Sc 0.0000 0.0000 0.5000
Sc 0.0000 0.0000 0.7470
! Energy relative to the elements = 0.036 eV per atom

# 8
! SmDy5Sc | Alexandria | PBE | optimized geometry; values from VASP
&SYSTEM
  ibrav = 0, nat = 14, ntyp = 3
/
ATOMIC_SPECIES
Sm 150.36 Sm.upf
Dy 162.50 Dy.upf
Sc 44.96 Sc.upf
CELL_PARAMETERS angstrom
9.2047 0.0000 0.0000
0.0000 3.5613 0.0000
-3.0665 0.0000 13.3334
ATOMIC_POSITIONS crystal
Sm 0.1119 0.2500 0.1336
Sm 0.8881 0.7500 0.8664
Dy 0.0094 0.7500 0.3720
Dy 0.2017 0.2500 0.8828
Dy 0.3318 0.2500 0.5070
Dy 0.3485 0.7500 0.7210
Dy 0.4172 0.7500 0.0823
Dy 0.5828 0.2500 0.9177
Dy 0.6515 0.2500 0.2790
Dy 0.6682 0.7500 0.4930
Dy 0.7983 0.7500 0.1172
Dy 0.9906 0.2500 0.6280
Sc 0.3504 0.7500 0.3067
Sc 0.6496 0.2500 0.6933
! Energy relative to the elements = 0.069 eV per atom

# 9
! Sm2Dy5Sc | Alexandria | PBE | optimized geometry; values from VASP
&SYSTEM
  ibrav = 0, nat = 8, ntyp = 3
/
ATOMIC_SPECIES
Sm 150.36 Sm.upf
Dy 162.50 Dy.upf
Sc 44.96 Sc.upf
CELL_PARAMETERS angstrom
5.5753 -2.5018 0.0000
5.5753 2.5018 0.0000
-4.4859 0.0000 8.9236
ATOMIC_POSITIONS crystal
Sm 0.0009 0.0009 0.2472
Sm 0.9991 0.9991 0.7528
Dy 0.2496 0.2496 0.1222
Dy 0.2516 0.2516 0.6288
Dy 0.5000 0.5000 0.5000
Dy 0.7484 0.7484 0.3712
Dy 0.7504 0.7504 0.8778
Sc 0.5000 0.5000 0.0000
! Energy relative to the elements = 0.032 eV per atom

# 10
! SmDy3Sc6 | Alexandria | PBE | optimized geometry; values from VASP
&SYSTEM
  ibrav = 0, nat = 20, ntyp = 3
/
ATOMIC_SPECIES
Sm 150.36 Sm.upf
Dy 162.50 Dy.upf
Sc 44.96 Sc.upf
CELL_PARAMETERS angstrom
5.2427 -8.9638 0.0000
5.2427 8.9638 0.0000
0.0000 0.0000 5.8752
ATOMIC_POSITIONS crystal
Sm 0.2140 0.7860 0.5000
Sm 0.7860 0.2140 0.0000
Dy 0.0739 0.2822 0.2926
Dy 0.2822 0.0739 0.7926
Dy 0.3986 0.6014 0.3884
Dy 0.6014 0.3986 0.8884
Dy 0.7178 0.9261 0.2926
Dy 0.9261 0.7178 0.7926
Sc 0.0188 0.4516 0.6846
Sc 0.0499 0.9501 0.2562
Sc 0.2749 0.3836 0.8364
Sc 0.2955 0.7045 0.9560
Sc 0.3836 0.2749 0.3364
Sc 0.4516 0.0188 0.1846
Sc 0.5484 0.9812 0.6846
Sc 0.6164 0.7251 0.8364
Sc 0.7045 0.2955 0.4560
Sc 0.7251 0.6164 0.3364
Sc 0.9501 0.0499 0.7562
Sc 0.9812 0.5484 0.1846
! Energy relative to the elements = 0.157 eV per atom
! E above lowest polymorph = 0.000 eV per atom

# 11
! Sm3Dy3Sc5 | Alexandria | PBE | optimized geometry; values from VASP
&SYSTEM
  ibrav = 0, nat = 11, ntyp = 3
/
ATOMIC_SPECIES
Sm 150.36 Sm.upf
Dy 162.50 Dy.upf
Sc 44.96 Sc.upf
CELL_PARAMETERS angstrom
9.0504 0.0000 0.0000
-4.5252 7.8379 0.0000
0.0000 0.0000 5.4076
ATOMIC_POSITIONS crystal
Sm 0.0000 0.3812 0.0000
Sm 0.3812 0.0000 0.0000
Sm 0.6188 0.6188 0.0000
Dy 0.0000 0.6140 0.5000
Dy 0.3860 0.3860 0.5000
Dy 0.6140 0.0000 0.5000
Sc 0.0000 0.7586 0.0000
Sc 0.2414 0.2414 0.0000
Sc 0.3333 0.6667 0.0000
Sc 0.6667 0.3333 0.0000
Sc 0.7586 0.0000 0.0000
! Energy relative to the elements = 0.814 eV per atom

# 12
! Sm6DySc8 | Alexandria | PBE | optimized geometry; values from VASP
&SYSTEM
  ibrav = 0, nat = 15, ntyp = 3
/
ATOMIC_SPECIES
Sm 150.36 Sm.upf
Dy 162.50 Dy.upf
Sc 44.96 Sc.upf
CELL_PARAMETERS angstrom
4.6317 2.6741 5.8187
-4.6317 2.6741 5.8187
0.0000 -5.3482 5.8187
ATOMIC_POSITIONS crystal
Sm 0.1692 0.4286 0.6209
Sm 0.3791 0.8308 0.5714
Sm 0.4286 0.6209 0.1692
Sm 0.5714 0.3791 0.8308
Sm 0.6209 0.1692 0.4286
Sm 0.8308 0.5714 0.3791
Dy 0.0000 0.0000 0.0000
Sc 0.0480 0.8725 0.3791
Sc 0.1275 0.6209 0.9520
Sc 0.2278 0.2278 0.2278
Sc 0.3791 0.0480 0.8725
Sc 0.6209 0.9520 0.1275
Sc 0.7722 0.7722 0.7722
Sc 0.8725 0.3791 0.0480
Sc 0.9520 0.1275 0.6209
! Energy relative to the elements = 0.189 eV per atom